GGA-PBE MgAg4, relaxed; crystal system = orthorhombic; E = -13.48 eV/cell; total magnetization = 0.0 μB per formula unit; formation energy from the elements = -0.48 eV/f.u.
1.0
-1.535 1.982 7.419
1.535 -1.982 7.419
1.535 1.982 -7.419
Mg Ag
1 4
Direct
0.000 0.000 0.000
0.200 0.200 0.000
0.401 0.401 0.000
0.599 0.599 0.000
0.800 0.800 0.000